# 1
## CaHf2MgTe (GGA-PBE)

Data for a geometry-optimized CaHf2MgTe structure.

Properties
* total magnetic moment: 0.000 μB per atom
* E_tot: -23.9 eV/f.u.
* energy relative to the elements, uncorrected: 0.554 eV per atom
* D(E_F): 6.7 states/eV per cell

Cell: 5.343 5.372 5.343 Å, 90.00 90.00 90.00°
Element x y z (fractional)
Ca: 0.500 0.500 0.500
Te: 0.000 0.000 0.000
Hf: 0.000 0.000 0.500
Hf: 0.500 0.000 0.000
Mg: 0.000 0.500 0.000

# 2
## LaPa2Al9 (GGA-PBE)

Data for a geometry-optimized LaPa2Al9 structure.

Properties
* total magnetic moment: 0.000 μB per atom
* E_tot: -61.1 eV/f.u.
* D(E_F): 12.3 states/eV per cell
* energy of formation: -0.288 eV per atom

Cell: 5.562 5.562 9.444 Å, 72.87 72.87 60.00°
Element x y z (fractional)
La: 0.000 0.000 0.000
Pa: 0.855 0.855 0.436
Pa: 0.145 0.145 0.564
Al: 0.665 0.665 0.006
Al: 0.335 0.335 0.994
Al: 0.500 0.500 0.500
Al: 0.412 0.412 0.254
Al: 0.922 0.412 0.254
Al: 0.412 0.922 0.254
Al: 0.588 0.588 0.746
Al: 0.588 0.078 0.746
Al: 0.078 0.588 0.746

# 3
## Cs2Br2F (GGA-PBE)

Data for a geometry-optimized Cs2Br2F structure.

Properties
* E above lowest polymorph: 124 meV per atom
* total magnetic moment: 0.000 μB per atom
* E_tot: -14.3 eV/f.u.
* energy relative to the elements, uncorrected: -1.476 eV per atom
* D(E_F): 2.9 states/eV per cell

Cell: 4.517 4.517 9.852 Å, 76.75 76.75 90.00°
Element x y z (fractional)
Cs: 0.401 0.401 0.198
Cs: 0.599 0.599 0.802
Br: 0.750 0.250 0.500
Br: 0.250 0.750 0.500
F: 0.000 0.000 0.000